Density functional theory data (PBE+U) for a relaxed SrWI2O crystal. Values from VASP.

Properties
space group: P4/mmm (123)
ΔE to the lowest computed polymorph: 710 meV per atom
VASP energy: -3.47 eV/atom
volume: 35.6 A^3/atom
DOS at the Fermi energy: 3.01 states/eV/f.u.
crystal system: tetragonal
total magnetization: 4.7 μB per formula unit

```
&SYSTEM
  ibrav = 0, nat = 5, ntyp = 4
/
ATOMIC_SPECIES
I 126.90 I.upf
Sr 87.62 Sr.upf
O 16.00 O.upf
W 183.84 W.upf
CELL_PARAMETERS angstrom
6.4220 0.0000 0.0000
0.0000 6.4220 0.0000
0.0000 0.0000 4.3124
ATOMIC_POSITIONS angstrom
I 0.0000 3.2110 0.0000
I 3.2110 0.0000 0.0000
Sr 0.0000 0.0000 0.0000
O 0.0000 0.0000 2.1562
W 3.2110 3.2110 2.1562
```